! LaTi2OsCl PBE-GGA relaxed; values from VASP
! Fermi-level density of states: 7.4 states/eV/f.u.
! E_tot: -4.98 eV per atom
! uncorrected formation energy: 171.74 kJ per mole of atoms
! spin magnetization: 1.054 μB/cell
&SYSTEM
  ibrav = 0, nat = 5, ntyp = 4
/
ATOMIC_SPECIES
La 138.91 La.upf
Ti 47.87 Ti.upf
Os 190.23 Os.upf
Cl 35.45 Cl.upf
CELL_PARAMETERS angstrom
5.0911 0.0000 0.0000
0.0000 5.0911 0.0000
0.0000 0.0000 4.7588
ATOMIC_POSITIONS crystal
La 0.0000 0.0000 0.0000
Ti 0.0000 0.5000 0.0000
Ti 0.5000 0.0000 0.0000
Os 0.0000 0.0000 0.5000
Cl 0.5000 0.5000 0.5000


! FeAsPt PBE-GGA relaxed; values from VASP
! Fermi-level density of states: 3.1 states/eV/f.u.
! E_tot: -6.43 eV per atom
! energy of formation from the pure elements: -0.12 eV per formula unit
! spin magnetization: 3.608 μB/cell
&SYSTEM
  ibrav = 0, nat = 3, ntyp = 3
/
ATOMIC_SPECIES
Fe 55.84 Fe.upf
As 74.92 As.upf
Pt 195.08 Pt.upf
CELL_PARAMETERS angstrom
0.0000 2.9793 2.9793
2.9793 0.0000 2.9793
2.9793 2.9793 0.0000
ATOMIC_POSITIONS crystal
Fe 0.0000 0.0000 0.0000
As 0.5000 0.5000 0.5000
Pt 0.2500 0.2500 0.2500


! Dy12ErTh6 PBE-GGA relaxed; values from VASP
! Fermi-level density of states: 24.6 states/eV/f.u.
! E_tot: -5.33 eV per atom
! energy of formation from the pure elements: 3.03 eV per formula unit
! spin magnetization: 0.003 μB/cell
&SYSTEM
  ibrav = 0, nat = 19, ntyp = 3
/
ATOMIC_SPECIES
Dy 162.50 Dy.upf
Er 167.26 Er.upf
Th 232.04 Th.upf
CELL_PARAMETERS angstrom
6.5172 3.7627 4.2779
-6.5172 3.7627 4.2779
0.0000 -7.5254 4.2779
ATOMIC_POSITIONS crystal
Dy 0.0000 0.2614 0.7386
Dy 0.0000 0.7386 0.2614
Dy 0.1670 0.5877 0.5877
Dy 0.2614 0.0000 0.7386
Dy 0.2614 0.7386 0.0000
Dy 0.4123 0.4123 0.8330
Dy 0.4123 0.8330 0.4123
Dy 0.5877 0.1670 0.5877
Dy 0.5877 0.5877 0.1670
Dy 0.7386 0.0000 0.2614
Dy 0.7386 0.2614 0.0000
Dy 0.8330 0.4123 0.4123
Er 0.0000 0.0000 0.0000
Th 0.1371 0.1371 0.4071
Th 0.1371 0.4071 0.1371
Th 0.4071 0.1371 0.1371
Th 0.5929 0.8629 0.8629
Th 0.8629 0.5929 0.8629
Th 0.8629 0.8629 0.5929


! La2Sm3DyTe6 PBE-GGA relaxed; values from VASP
! Fermi-level density of states: 7.1 states/eV/f.u.
! E_tot: -5.39 eV per atom
! uncorrected formation energy: -138.52 kJ per mole of atoms
! spin magnetization: 0.001 μB/cell
&SYSTEM
  ibrav = 0, nat = 12, ntyp = 4
/
ATOMIC_SPECIES
La 138.91 La.upf
Sm 150.36 Sm.upf
Dy 162.50 Dy.upf
Te 127.60 Te.upf
CELL_PARAMETERS angstrom
9.7357 -2.2292 0.0000
9.7357 2.2292 0.0000
-2.0193 0.0000 8.7631
ATOMIC_POSITIONS crystal
La 0.1668 0.1668 0.3339
La 0.8332 0.8332 0.6661
Sm 0.1709 0.1709 0.8349
Sm 0.5000 0.5000 0.5000
Sm 0.8291 0.8291 0.1651
Dy 0.5000 0.5000 0.0000
Te 0.0038 0.0038 0.7575
Te 0.3357 0.3357 0.4114
Te 0.3374 0.3374 0.9249
Te 0.6626 0.6626 0.0751
Te 0.6643 0.6643 0.5886
Te 0.9962 0.9962 0.2425


! LiTcBAs2 PBE-GGA relaxed; values from VASP
! Fermi-level density of states: 4.5 states/eV/f.u.
! E_tot: -4.86 eV per atom
! energy of formation from the pure elements: 3.93 eV per formula unit
! spin magnetization: 1.512 μB/cell
&SYSTEM
  ibrav = 0, nat = 5, ntyp = 4
/
ATOMIC_SPECIES
Li 6.94 Li.upf
Tc 98.00 Tc.upf
B 10.81 B.upf
As 74.92 As.upf
CELL_PARAMETERS angstrom
4.3671 0.0000 0.0000
0.0000 4.3671 0.0000
0.0000 0.0000 3.8099
ATOMIC_POSITIONS crystal
Li 0.0000 0.0000 0.0000
Tc 0.5000 0.5000 0.0000
B 0.0000 0.0000 0.5000
As 0.0000 0.5000 0.5000
As 0.5000 0.0000 0.5000


! LiFeRe PBE-GGA relaxed; values from VASP
! Fermi-level density of states: 2.0 states/eV/f.u.
! E_tot: -7.29 eV per atom
! energy of formation from the pure elements: 0.94 eV per formula unit
! spin magnetization: 1.545 μB/cell
&SYSTEM
  ibrav = 0, nat = 3, ntyp = 3
/
ATOMIC_SPECIES
Li 6.94 Li.upf
Fe 55.84 Fe.upf
Re 186.21 Re.upf
CELL_PARAMETERS angstrom
-1.2520 2.0187 3.7321
1.2520 -2.0187 3.7321
1.2520 2.0187 -3.7321
ATOMIC_POSITIONS crystal
Li 0.0000 0.0000 0.0000
Fe 0.6655 0.6655 0.0000
Re 0.3320 0.3320 0.0000


! FeBiPt3 PBE-GGA relaxed; values from VASP
! Fermi-level density of states: 3.4 states/eV/f.u.
! E_tot: -5.56 eV per atom
! energy of formation from the pure elements: 2.69 eV per formula unit
! spin magnetization: 3.804 μB/cell
&SYSTEM
  ibrav = 0, nat = 5, ntyp = 3
/
ATOMIC_SPECIES
Fe 55.84 Fe.upf
Bi 208.98 Bi.upf
Pt 195.08 Pt.upf
CELL_PARAMETERS angstrom
4.6819 0.0000 0.0000
0.0000 4.6819 0.0000
0.0000 0.0000 4.6819
ATOMIC_POSITIONS crystal
Fe 0.0000 0.0000 0.0000
Bi 0.5000 0.5000 0.5000
Pt 0.0000 0.0000 0.5000
Pt 0.0000 0.5000 0.0000
Pt 0.5000 0.0000 0.0000


! Ru2WSe PBE-GGA relaxed; values from VASP
! Fermi-level density of states: 4.3 states/eV/f.u.
! E_tot: -8.43 eV per atom
! uncorrected formation energy: 30.56 kJ per mole of atoms
! spin magnetization: 0.000 μB/cell
&SYSTEM
  ibrav = 0, nat = 4, ntyp = 3
/
ATOMIC_SPECIES
Ru 101.07 Ru.upf
W 183.84 W.upf
Se 78.96 Se.upf
CELL_PARAMETERS angstrom
4.5801 -1.4529 0.0000
4.5801 1.4529 0.0000
-0.2695 0.0000 4.6050
ATOMIC_POSITIONS crystal
Ru 0.2298 0.2298 0.2347
Ru 0.7702 0.7702 0.7653
W 0.5000 0.5000 0.0000
Se 0.0000 0.0000 0.5000


! CrHPd3 PBE-GGA relaxed; values from VASP
! Fermi-level density of states: 5.5 states/eV/f.u.
! E_tot: -5.48 eV per atom
! spin magnetization: 0.000 μB/cell
&SYSTEM
  ibrav = 0, nat = 10, ntyp = 3
/
ATOMIC_SPECIES
Cr 52.00 Cr.upf
H 1.01 H.upf
Pd 106.42 Pd.upf
CELL_PARAMETERS angstrom
2.3847 1.3768 6.5786
-2.3847 1.3768 6.5786
0.0000 -2.7536 6.5786
ATOMIC_POSITIONS crystal
Cr 0.1673 0.1673 0.1673
Cr 0.8327 0.8327 0.8327
H 0.3230 0.3230 0.3230
H 0.6770 0.6770 0.6770
Pd 0.0672 0.3942 0.7294
Pd 0.2706 0.9328 0.6058
Pd 0.3942 0.7294 0.0672
Pd 0.6058 0.2706 0.9328
Pd 0.7294 0.0672 0.3942
Pd 0.9328 0.6058 0.2706


! AcErAl2Zn2 PBE-GGA relaxed; values from VASP
! Fermi-level density of states: 3.3 states/eV/f.u.
! E_tot: -3.54 eV per atom
! energy of formation from the pure elements: -2.54 eV per formula unit
! spin magnetization: 0.000 μB/cell
&SYSTEM
  ibrav = 0, nat = 6, ntyp = 4
/
ATOMIC_SPECIES
Ac 227.00 Ac.upf
Er 167.26 Er.upf
Al 26.98 Al.upf
Zn 65.41 Zn.upf
CELL_PARAMETERS angstrom
4.5324 0.0000 0.0000
-2.2662 3.9251 0.0000
0.0000 0.0000 7.8553
ATOMIC_POSITIONS crystal
Ac 0.0000 0.0000 0.0000
Er 0.0000 0.0000 0.5000
Al 0.3333 0.6667 0.2904
Al 0.6667 0.3333 0.7096
Zn 0.3333 0.6667 0.6962
Zn 0.6667 0.3333 0.3038


! PmCu3Au PBE-GGA relaxed; values from VASP
! Fermi-level density of states: 2.2 states/eV/f.u.
! E_tot: -4.20 eV per atom
! energy of formation from the pure elements: -0.66 eV per formula unit
! spin magnetization: 0.000 μB/cell
&SYSTEM
  ibrav = 0, nat = 10, ntyp = 3
/
ATOMIC_SPECIES
Pm 145.00 Pm.upf
Cu 63.55 Cu.upf
Au 196.97 Au.upf
CELL_PARAMETERS angstrom
1.9244 -12.2525 0.0000
1.9244 12.2525 0.0000
0.0000 0.0000 3.8742
ATOMIC_POSITIONS crystal
Pm 0.0810 0.9190 0.7500
Pm 0.9190 0.0810 0.2500
Cu 0.3059 0.6941 0.2500
Cu 0.3710 0.6290 0.7500
Cu 0.4711 0.5289 0.7500
Cu 0.5289 0.4711 0.2500
Cu 0.6290 0.3710 0.2500
Cu 0.6941 0.3059 0.7500
Au 0.1993 0.8007 0.2500
Au 0.8007 0.1993 0.7500


! ErHPt PBE-GGA relaxed; values from VASP
! Fermi-level density of states: 0.8 states/eV/f.u.
! E_tot: -5.52 eV per atom
! spin magnetization: 0.000 μB/cell
&SYSTEM
  ibrav = 0, nat = 6, ntyp = 3
/
ATOMIC_SPECIES
Er 167.26 Er.upf
H 1.01 H.upf
Pt 195.08 Pt.upf
CELL_PARAMETERS angstrom
3.5510 0.0000 0.0000
0.0000 3.5510 0.0000
0.0000 0.0000 7.2177
ATOMIC_POSITIONS crystal
Er 0.2500 0.2500 0.1906
Er 0.7500 0.7500 0.8094
H 0.2500 0.7500 0.0000
H 0.7500 0.2500 0.0000
Pt 0.2500 0.2500 0.6095
Pt 0.7500 0.7500 0.3905